A plane-wave DFT calculation with PBE was carried out for a relaxed Li4NbPdO6 crystal.

The value obtained for the total magnetization is 1.00 μB/f.u. Its total DFT energy (no corrections) is -6.227 eV/atom. The density comes out at 4.76 g/cm³.

a b c (Å): 5.183 5.183 5.131
angles (deg): 99.03 99.03 120.39
Atoms (fractional coordinates):
Li: 0.000 0.000 0.000
Li: 0.167 0.833 0.500
Li: 0.489 0.511 0.500
Li: 0.849 0.151 0.500
Nb: 0.658 0.342 0.000
Pd: 0.335 0.665 0.000
O: 0.072 0.417 0.232
O: 0.263 0.239 0.749
O: 0.435 0.099 0.245
O: 0.583 0.928 0.768
O: 0.761 0.737 0.251
O: 0.901 0.565 0.755

***

A plane-wave DFT calculation with PBE was carried out for a relaxed YBeAu crystal.

The calculation puts the distance to the lowest polymorph of the same formula at 0 kJ/mol of formula units. The value obtained for the total magnetization is 0.56 μB/f.u. Its total DFT energy (no corrections) is -4.601 eV/atom. The density comes out at 7.27 g/cm³.

a b c (Å): 4.566 4.566 4.566
angles (deg): 60.00 60.00 60.00
Atoms (fractional coordinates):
Y: 0.000 0.000 0.000
Be: 0.500 0.500 0.500
Au: 0.750 0.750 0.750

***

A plane-wave DFT calculation with PBE was carried out for a relaxed TaTlAgS3 crystal.

The value obtained for the total magnetization is 0.04 μB/f.u. Its total DFT energy (no corrections) is -5.382 eV/atom. The density comes out at 7.40 g/cm³.

a b c (Å): 7.721 7.721 10.016
angles (deg): 90.00 90.00 153.71
Atoms (fractional coordinates):
Ta: 0.000 0.000 0.000
Ta: 0.000 0.000 0.500
Tl: 0.275 0.725 0.750
Tl: 0.725 0.275 0.250
Ag: 0.418 0.582 0.250
Ag: 0.582 0.418 0.750
S: 0.051 0.949 0.250
S: 0.382 0.618 0.015
S: 0.382 0.618 0.485
S: 0.618 0.382 0.515
S: 0.618 0.382 0.985
S: 0.949 0.051 0.750

***

A plane-wave DFT calculation with PBE was carried out for a relaxed Pu2InAg3 crystal.

The value obtained for the total magnetization is 11.82 μB/f.u. Its total DFT energy (no corrections) is -6.727 eV/atom. The density comes out at 11.39 g/cm³.

a b c (Å): 5.810 5.810 9.241
angles (deg): 90.00 90.00 120.00
Atoms (fractional coordinates):
Pu: 0.333 0.667 0.059
Pu: 0.333 0.667 0.441
Pu: 0.667 0.333 0.559
Pu: 0.667 0.333 0.941
In: 0.000 0.000 0.000
In: 0.000 0.000 0.500
Ag: 0.171 0.342 0.750
Ag: 0.171 0.829 0.750
Ag: 0.342 0.171 0.250
Ag: 0.658 0.829 0.750
Ag: 0.829 0.171 0.250
Ag: 0.829 0.658 0.250

***

A plane-wave DFT calculation with PBE was carried out for a relaxed YFeCoB crystal.

The calculation puts the distance to the lowest polymorph of the same formula at 0 kJ/mol of formula units. The value obtained for the total magnetization is 4.40 μB/f.u. Its total DFT energy (no corrections) is -6.739 eV/atom. The density comes out at 6.35 g/cm³.

a b c (Å): 4.296 4.296 4.296
angles (deg): 60.00 60.00 60.00
Atoms (fractional coordinates):
Y: 0.000 0.000 0.000
Fe: 0.500 0.500 0.500
Co: 0.750 0.750 0.750
B: 0.250 0.250 0.250

***

A plane-wave DFT calculation with PBE was carried out for a relaxed SmZnInSe3 crystal.

The calculation puts the distance to the lowest polymorph of the same formula at 12 kJ/mol of formula units. The value obtained for the total magnetization is 0.00 μB/f.u. Its total DFT energy (no corrections) is -4.244 eV/atom. The density comes out at 5.39 g/cm³.

a b c (Å): 8.310 4.154 10.642
angles (deg): 90.00 107.72 90.00
Atoms (fractional coordinates):
Sm: 0.196 0.250 0.139
Sm: 0.804 0.750 0.861
Zn: 0.426 0.750 0.391
Zn: 0.574 0.250 0.609
In: 0.229 0.750 0.711
In: 0.771 0.250 0.289
Se: 0.052 0.250 0.855
Se: 0.278 0.250 0.440
Se: 0.452 0.750 0.166
Se: 0.548 0.250 0.834
Se: 0.722 0.750 0.560
Se: 0.948 0.750 0.145

***

A plane-wave DFT calculation with PBE was carried out for a relaxed KHoNiTe3 crystal.

The value obtained for the total magnetization is 0.01 μB/f.u. Its total DFT energy (no corrections) is -4.350 eV/atom. The density comes out at 5.44 g/cm³.

a b c (Å): 9.594 4.267 10.258
angles (deg): 90.00 110.28 90.00
Atoms (fractional coordinates):
K: 0.217 0.250 0.256
K: 0.783 0.750 0.744
Ho: 0.320 0.750 0.859
Ho: 0.680 0.250 0.141
Ni: 0.096 0.250 0.617
Ni: 0.904 0.750 0.383
Te: 0.095 0.250 0.864
Te: 0.177 0.750 0.533
Te: 0.464 0.750 0.174
Te: 0.536 0.250 0.826
Te: 0.823 0.250 0.467
Te: 0.905 0.750 0.136

***

A plane-wave DFT calculation with PBE was carried out for a relaxed LaNdBrO crystal.

The calculation puts the distance to the lowest polymorph of the same formula at 0 kJ/mol of formula units. The value obtained for the total magnetization is 0.01 μB/f.u. Its total DFT energy (no corrections) is -6.041 eV/atom. The density comes out at 7.15 g/cm³.

a b c (Å): 3.716 3.716 14.726
angles (deg): 90.00 90.00 120.00
Atoms (fractional coordinates):
La: 0.333 0.667 0.405
La: 0.667 0.333 0.595
Nd: 0.333 0.667 0.089
Nd: 0.667 0.333 0.911
Br: 0.333 0.667 0.756
Br: 0.667 0.333 0.244
O: 0.000 0.000 0.000
O: 0.000 0.000 0.500